1.
{"formula": "B2OsRhS", "functional": "PBE", "state": "relaxed", "lattice": [[3.840, 0.000, 0.000], [0.000, 3.840, 0.000], [0.000, 0.000, 5.368]], "species": ["B", "B", "Os", "Rh", "S"], "frac_coords": [[0.000, 0.500, 0.000], [0.500, 0.000, 0.000], [0.000, 0.000, 0.500], [0.000, 0.000, 0.000], [0.500, 0.500, 0.500]], "energy_ev_per_atom": -5.857, "spacegroup": "P4/mmm (123)", "magmom_total_mub_per_cell": 2.1, "vol_a3_per_fu": 79.2}



2.
{"formula": "BOs2RhSe", "functional": "PBE", "state": "relaxed", "lattice": [[4.736, 0.000, 0.000], [0.000, 4.736, 0.000], [0.000, 0.000, 4.739]], "species": ["B", "Os", "Os", "Rh", "Se"], "frac_coords": [[0.000, 0.000, 0.000], [0.000, 0.500, 0.500], [0.500, 0.000, 0.500], [0.500, 0.500, 0.500], [0.500, 0.500, 0.000]], "energy_ev_per_atom": -5.221, "spacegroup": "P4/mmm (123)", "magmom_total_mub_per_cell": 1.9, "vol_a3_per_fu": 106.3}